First-principles (GGA-PBE) data for crystalline RbTaTl at its relaxed geometry, as listed in OQMD via LeMat-Bulk.

The energy above the most stable polymorph in this dataset is 0 meV per atom.

The structure belongs to space group F-43m (No. 216); the cell edges are 7.214, 7.214 and 7.214 Å and the angles 90.00°, 90.00° and 90.00°. The inequivalent atoms are Rb at (0.000, 0.000, 0.000), Ta at (0.250, 0.250, 0.250) and Tl at (0.000, 0.000, 0.500).

=====

First-principles (GGA-PBE) data for crystalline RbTmTa at its relaxed geometry, as listed in OQMD via LeMat-Bulk.

For the raw total energy, the calculation gives -3.74 eV per atom.

The structure belongs to space group F-43m (No. 216); the cell edges are 7.773, 7.773 and 7.773 Å and the angles 90.00°, 90.00° and 90.00°. The inequivalent atoms are Rb at (0.000, 0.000, 0.000), Tm at (0.250, 0.250, 0.250) and Ta at (0.000, 0.000, 0.500).

=====

First-principles (GGA-PBE) data for crystalline RbTaW at its relaxed geometry, as listed in OQMD via LeMat-Bulk.

The energy above the most stable polymorph in this dataset is 1324 meV per atom.

The structure belongs to space group F-43m (No. 216); the cell edges are 6.599, 6.599 and 6.599 Å and the angles 90.00°, 90.00° and 90.00°. The inequivalent atoms are Rb at (0.000, 0.000, 0.000), Ta at (0.250, 0.250, 0.750) and W at (0.250, 0.250, 0.250).

=====

First-principles (GGA-PBE) data for crystalline RbTaW at its relaxed geometry, as listed in OQMD via LeMat-Bulk.

The energy above the most stable polymorph in this dataset is 0 meV per atom.

The structure belongs to space group F-43m (No. 216); the cell edges are 6.670, 6.670 and 6.670 Å and the angles 90.00°, 90.00° and 90.00°. The inequivalent atoms are Rb at (0.000, 0.000, 0.000), Ta at (0.000, 0.000, 0.500) and W at (0.250, 0.250, 0.250).

=====

First-principles (GGA-PBE) data for crystalline RbYTa at its relaxed geometry, as listed in OQMD via LeMat-Bulk.

The energy above the most stable polymorph in this dataset is 503 meV per atom.

The structure belongs to space group F-43m (No. 216); the cell edges are 7.278, 7.278 and 7.278 Å and the angles 90.00°, 90.00° and 90.00°. The inequivalent atoms are Rb at (0.000, 0.000, 0.000), Y at (0.250, 0.250, 0.250) and Ta at (0.250, 0.250, 0.750).

=====

First-principles (GGA-PBE) data for crystalline RbYTa at its relaxed geometry, as listed in OQMD via LeMat-Bulk.

The energy above the most stable polymorph in this dataset is 0 meV per atom.

The structure belongs to space group F-43m (No. 216); the cell edges are 7.819, 7.819 and 7.819 Å and the angles 90.00°, 90.00° and 90.00°. The inequivalent atoms are Rb at (0.000, 0.000, 0.000), Y at (0.000, 0.000, 0.500) and Ta at (0.250, 0.250, 0.250).

=====

First-principles (GGA-PBE) data for crystalline RbTaZn at its relaxed geometry, as listed in OQMD via LeMat-Bulk.

For the raw total energy, the calculation gives -2.69 eV per atom.

The structure belongs to space group F-43m (No. 216); the cell edges are 7.262, 7.262 and 7.262 Å and the angles 90.00°, 90.00° and 90.00°. The inequivalent atoms are Rb at (0.000, 0.000, 0.000), Ta at (0.250, 0.250, 0.250) and Zn at (0.000, 0.000, 0.500).

=====

First-principles (GGA-PBE) data for crystalline Rb2Tb at its relaxed geometry, as listed in OQMD via LeMat-Bulk.

For the raw total energy, the calculation gives -0.76 eV per atom.

The structure belongs to space group Fd-3m (No. 227, origin choice 2); the cell edges are 18.262, 18.262 and 18.262 Å and the angles 90.00°, 90.00° and 90.00°. The inequivalent atoms are Rb at (0.000, 0.000, 0.000) and Tb at (0.125, 0.125, 0.125).

=====

First-principles (GGA-PBE) data for crystalline Rb2Tb at its relaxed geometry, as listed in OQMD via LeMat-Bulk.

For the raw total energy, the calculation gives -1.14 eV per atom.

The structure belongs to space group Fm-3m (No. 225); the cell edges are 9.761, 9.761 and 9.761 Å and the angles 90.00°, 90.00° and 90.00°. The inequivalent atoms are Rb at (0.250, 0.250, 0.250) and Tb at (0.000, 0.000, 0.000).

=====

First-principles (GGA-PBE) data for crystalline RbTb at its relaxed geometry, as listed in OQMD via LeMat-Bulk.

For the raw total energy, the calculation gives -0.93 eV per atom.

The structure belongs to space group F-43m (No. 216); the cell edges are 8.982, 8.982 and 8.982 Å and the angles 90.00°, 90.00° and 90.00°. The inequivalent atoms are Rb at (0.000, 0.000, 0.000) and Tb at (0.250, 0.250, 0.750).

=====

First-principles (GGA-PBE) data for crystalline RbTb at its relaxed geometry, as listed in OQMD via LeMat-Bulk.

For the raw total energy, the calculation gives -2.03 eV per atom.

The structure belongs to space group R-3m (No. 166, hexagonal axes); the cell edges are 3.7249, 3.7249 and 21.8802 Å and the angles 90.00°, 90.00° and 120.00°. The inequivalent atoms are Rb at (0.0000, 0.0000, 0.0000) and Tb at (0.0000, 0.0000, 0.5000).

=====

First-principles (GGA-PBE) data for crystalline RbTb at its relaxed geometry, as listed in OQMD via LeMat-Bulk.

For the raw total energy, the calculation gives -2.17 eV per atom.

The structure belongs to space group Amm2 (No. 38); the cell edges are 7.385, 3.731 and 6.482 Å and the angles 90.00°, 90.00° and 90.00°. The inequivalent atoms are Rb at (0.000, 0.000, 0.000) and Tb at (0.500, 0.000, 0.667).